(1)
This record from Alexandria describes a relaxed structure of RbAsH. The functional is PBE-GGA.

## Properties
Fermi-level density of states ... 0.10 states/eV per cell
Symmetry ... P2
Total DFT energy (no corrections) ... -19.42 eV per cell

abc: 6.1153 4.2448 6.1478
angles: 90.00 107.13 90.00
Last column: nearest neighbours and their distance in Å.
Sites, in units of the cell vectors:
1 Rb 0.7174 0.3017 0.2764  2 H 2.90-2.96
2 Rb 0.2826 0.3017 0.7236  2 H 2.90-2.96
3 As 0.1789 0.7800 0.1682  1 H 1.57
4 As 0.8211 0.7800 0.8318  1 H 1.57
5 H 0.1625 0.1329 0.2361  1 As 1.57
6 H 0.8375 0.1329 0.7639  1 As 1.57

(2)
This record from Alexandria describes a relaxed structure of RbAs3H2. The functional is PBE-GGA.

## Properties
Fermi-level density of states ... 1.30 states/eV per cell
Symmetry ... C2/c
Total DFT energy (no corrections) ... -43.98 eV per cell

abc: 8.5453 8.5453 4.5934
angles: 105.61 105.61 99.76
Last column: nearest neighbours and their distance in Å.
Sites, in units of the cell vectors:
1 Rb 0.1810 0.8190 0.2500  4 H 3.03-3.10
2 Rb 0.8190 0.1810 0.7500  4 H 3.03-3.10
3 As 0.1267 0.4301 0.5317  1 H 1.55
4 As 0.5699 0.8734 0.9683  1 H 1.55
5 As 0.8734 0.5699 0.4683  1 H 1.55
6 As 0.4301 0.1267 0.0317  1 H 1.55
7 As 0.5452 0.4548 0.2500  4 As 2.58-2.62
8 As 0.4548 0.5452 0.7500  4 As 2.58-2.62
9 H 0.1358 0.4454 0.2073  1 As 1.55
10 H 0.5546 0.8642 0.2927  1 As 1.55
11 H 0.8642 0.5546 0.7927  1 As 1.55
12 H 0.4454 0.1358 0.7073  1 As 1.55

(3)
This record from Alexandria describes a relaxed structure of RbAsH. The functional is PBE-GGA.

## Properties
Symmetry ... P1
Total DFT energy (no corrections) ... -19.07 eV per cell

abc: 5.7413 5.9585 6.0446
angles: 103.95 111.13 111.26
Last column: nearest neighbours and their distance in Å.
Sites, in units of the cell vectors:
1 Rb 0.2722 0.4934 0.4451  2 H 2.83-2.89
2 Rb 0.3046 0.0729 0.9112  4 H 3.06-3.23, 1 As 3.41
3 As 0.8525 0.7432 0.1069  2 H 1.59
4 As 0.8510 0.3986 0.7834  1 As 2.47
5 H 0.8403 0.6404 0.3242  1 As 1.59
6 H 0.5228 0.6568 0.0054  1 As 1.59

(4)
This record from Alexandria describes a relaxed structure of Rb2AsH3. The functional is PBE-GGA.

## Properties
Fermi-level density of states ... 0.00 states/eV per cell
Symmetry ... Fmmm
Total DFT energy (no corrections) ... -34.76 eV per cell

abc: 6.1067 6.1067 9.4279
angles: 111.45 111.45 82.59
Last column: nearest neighbours and their distance in Å.
Sites, in units of the cell vectors:
1 Rb 0.2500 0.7500 0.5000  8 H 3.58-3.87, 4 As 3.60
2 Rb 0.8059 0.8059 0.0000  2 H 2.87
3 Rb 0.7500 0.2500 0.5000  8 H 3.58-3.87, 4 As 3.60
4 Rb 0.1941 0.1941 0.0000  2 H 2.87
5 As 0.6348 0.6348 0.2695  2 H 1.55
6 As 0.3652 0.3652 0.7305  2 H 1.55
7 H 0.4316 0.7061 0.1377  1 As 1.55
8 H 0.2939 0.5684 0.8623  1 As 1.55
9 H 0.5684 0.2939 0.8623  1 As 1.55
10 H 0.7061 0.4316 0.1377  1 As 1.55
11 H 0.1364 0.1364 0.2727  2 Rb 2.87, 2 H 3.13
12 H 0.8636 0.8636 0.7273  2 Rb 2.87, 2 H 3.13

(5)
This record from Alexandria describes a relaxed structure of RbAsH. The functional is PBE-GGA.

## Properties
Symmetry ... P2_1/c
Total DFT energy (no corrections) ... -38.96 eV per cell

abc: 9.0711 5.6499 8.3946
angles: 90.00 90.00 120.01
Last column: nearest neighbours and their distance in Å.
Sites, in units of the cell vectors:
1 H 0.8447 0.3820 0.1909  1 As 1.56
2 H 0.3447 0.3820 0.3091  1 As 1.56
3 H 0.6553 0.6180 0.6909  1 As 1.56
4 H 0.1553 0.6180 0.8091  1 As 1.56
5 As 0.6595 0.6160 0.5054  1 H 1.56
6 As 0.1595 0.6160 0.9946  1 H 1.56
7 As 0.8405 0.3840 0.0054  1 H 1.56
8 As 0.3405 0.3840 0.4946  1 H 1.56
9 Rb 0.0056 0.0030 0.7708  3 H 2.89-3.10
10 Rb 0.5056 0.0030 0.7292  3 H 2.89-3.10
11 Rb 0.4944 0.9970 0.2708  3 H 2.89-3.10
12 Rb 0.9944 0.9970 0.2292  3 H 2.89-3.10

(6)
This record from Alexandria describes a relaxed structure of RbAsH. The functional is PBE-GGA.

## Properties
Symmetry ... C2
Total DFT energy (no corrections) ... -39.08 eV per cell

abc: 6.6008 6.7361 9.4995
angles: 90.00 128.97 90.00
Last column: nearest neighbours and their distance in Å.
Sites, in units of the cell vectors:
1 Rb 0.5000 0.8175 0.5000  2 H 2.96
2 Rb 0.5000 0.3175 0.0000  2 H 2.96
3 Rb 0.0000 0.8988 0.0000  2 H 2.88
4 Rb 0.0000 0.3988 0.5000  2 H 2.88
5 As 0.3585 0.3081 0.3316  1 H 1.58
6 As 0.6415 0.3081 0.6684  1 H 1.58
7 As 0.3585 0.8081 0.8316  1 H 1.58
8 As 0.6415 0.8081 0.1684  1 H 1.58
9 H 0.1580 0.4765 0.2834  1 As 1.58
10 H 0.8420 0.4765 0.7166  1 As 1.58
11 H 0.1580 0.9765 0.7834  1 As 1.58
12 H 0.8420 0.9765 0.2166  1 As 1.58

(7)
This record from Alexandria describes a relaxed structure of Rb8As2H. The functional is PBE-GGA.

## Properties
Fermi-level density of states ... 3.59 states/eV per cell
Symmetry ... C2/m
Total DFT energy (no corrections) ... -22.21 eV per cell

abc: 5.3669 9.7424 10.8083
angles: 92.09 104.38 90.00
Last column: nearest neighbours and their distance in Å.
Sites, in units of the cell vectors:
1 Rb 0.3872 0.4355 0.7745  2 As 3.51, 1 Rb 3.76
2 Rb 0.6722 0.9853 0.3445  1 H 3.62, 3 As 3.64-3.90
3 Rb 0.7889 0.6551 0.5778  3 As 3.52-3.87, 1 Rb 3.76
4 Rb 0.9721 0.1807 0.9441  2 H 3.27, 1 As 3.49
5 Rb 0.2111 0.3449 0.4222  3 As 3.52-3.87, 1 Rb 3.76
6 Rb 0.3278 0.0147 0.6555  1 H 3.62, 3 As 3.64-3.90
7 Rb 0.6128 0.5645 0.2255  2 As 3.51, 1 Rb 3.76
8 Rb 0.0279 0.8193 0.0559  2 H 3.27, 1 As 3.49
9 As 0.8115 0.2628 0.6230  9 Rb 3.49-3.90
10 As 0.1885 0.7372 0.3770  9 Rb 3.49-3.90
11 H 0.5000 0.0000 0.0000  6 Rb 3.27-3.62

(8)
This record from Alexandria describes a relaxed structure of RbAsH2. The functional is PBE-GGA.

## Properties
Fermi-level density of states ... 0.00 states/eV per cell
Symmetry ... Cm
Total DFT energy (no corrections) ... -13.21 eV per cell

abc: 5.8548 4.9163 4.4627
angles: 72.97 90.00 126.54
Last column: nearest neighbours and their distance in Å.
Sites, in units of the cell vectors:
1 Rb 0.4773 0.9545 0.8704  4 H 2.96-3.13
2 As 0.9967 0.9935 0.3393  2 H 1.55
3 H 0.8133 0.6265 0.2878  1 As 1.55
4 H 0.8979 0.7959 0.7097  1 As 1.55